Arrangement w

Compound: NbP2S2
Source: Alexandria via LeMat-Bulk
Functional: PBE
Structure: optimized geometry

Cell lengths 4.6882, 4.6882, 5.1340 Å; angles 90.00, 90.00, 90.00 degrees
Fractional coordinates of all 5 atoms:
Nb1 0.0000 0.0000 0.0000
P1 0.0000 0.0000 0.5000
P2 0.5000 0.5000 0.5000
S1 0.0000 0.5000 0.0000
S2 0.5000 0.0000 0.0000

SG   No. 123

Arrangement x

Compound: NbP2S2
Source: Alexandria via LeMat-Bulk
Functional: PBE
Structure: optimized geometry

Cell lengths 4.4256, 4.4256, 4.3516 Å; angles 90.00, 90.00, 90.00 degrees
Fractional coordinates of all 5 atoms:
Nb1 0.0000 0.0000 0.0000
P1 0.0000 0.5000 0.5000
P2 0.5000 0.0000 0.5000
S1 0.5000 0.5000 0.0000
S2 0.5000 0.5000 0.5000

SG   No. 123

Stability ranking, top entry: arrangement w; the second entry is 0.273 eV/atom less favorable.

Arrangement w

Compound: ScNbPS2
Source: Alexandria via LeMat-Bulk
Functional: PBE
Structure: optimized geometry

Cell lengths 4.7601, 4.7601, 4.9012 Å; angles 90.00, 90.00, 90.00 degrees
Fractional coordinates of all 5 atoms:
Sc1 0.0000 0.0000 0.0000
Nb1 0.5000 0.5000 0.5000
P1 0.0000 0.0000 0.5000
S1 0.0000 0.5000 0.0000
S2 0.5000 0.0000 0.0000

SG   No. 123

Arrangement x

Compound: ScNbPS2
Source: Alexandria via LeMat-Bulk
Functional: PBE
Structure: optimized geometry

Cell lengths 4.7131, 4.7131, 4.9154 Å; angles 90.00, 90.00, 90.00 degrees
Fractional coordinates of all 5 atoms:
Sc1 0.0000 0.0000 0.0000
Nb1 0.5000 0.5000 0.5000
P1 0.5000 0.5000 0.0000
S1 0.0000 0.5000 0.5000
S2 0.5000 0.0000 0.5000

SG   No. 123

Stability ranking, top entry: arrangement x; the second entry is 0.565 eV/atom less favorable.

Arrangement w

Compound: NbP2SeS
Source: Alexandria via LeMat-Bulk
Functional: PBE
Structure: optimized geometry

Cell lengths 4.6352, 4.6352, 4.5514 Å; angles 90.00, 90.00, 90.00 degrees
Fractional coordinates of all 5 atoms:
Nb1 0.0000 0.0000 0.0000
P1 0.0000 0.5000 0.5000
P2 0.5000 0.0000 0.5000
Se1 0.5000 0.5000 0.5000
S1 0.5000 0.5000 0.0000

SG   No. 123

Arrangement x

Compound: NbP2SeS
Source: Alexandria via LeMat-Bulk
Functional: PBE
Structure: optimized geometry

Cell lengths 4.9456, 4.9456, 4.5984 Å; angles 90.00, 90.00, 90.00 degrees
Fractional coordinates of all 5 atoms:
Nb1 0.0000 0.0000 0.0000
P1 0.0000 0.5000 0.0000
P2 0.5000 0.0000 0.0000
Se1 0.5000 0.5000 0.5000
S1 0.0000 0.0000 0.5000

SG   No. 123

Stability ranking, top entry: arrangement x; the second entry is 0.653 eV/atom less favorable.

Arrangement w

Compound: TaNbPS2
Source: Alexandria via LeMat-Bulk
Functional: PBE
Structure: optimized geometry

Cell lengths 4.6726, 4.6726, 4.8860 Å; angles 90.00, 90.00, 90.00 degrees
Fractional coordinates of all 5 atoms:
Ta1 0.0000 0.0000 0.0000
Nb1 0.5000 0.5000 0.5000
P1 0.5000 0.5000 0.0000
S1 0.0000 0.5000 0.5000
S2 0.5000 0.0000 0.5000

SG   No. 123

Arrangement x

Compound: TaNbPS2
Source: Alexandria via LeMat-Bulk
Functional: PBE
Structure: optimized geometry

Cell lengths 4.6921, 4.6921, 4.8779 Å; angles 90.00, 90.00, 90.00 degrees
Fractional coordinates of all 5 atoms:
Ta1 0.0000 0.0000 0.0000
Nb1 0.5000 0.5000 0.5000
P1 0.0000 0.0000 0.5000
S1 0.0000 0.5000 0.0000
S2 0.5000 0.0000 0.0000

SG   No. 123

Stability ranking, top entry: arrangement x; the second entry is 0.290 eV/atom less favorable.

Arrangement w

Compound: TaNbP2S
Source: Alexandria via LeMat-Bulk
Functional: PBE
Structure: optimized geometry

Cell lengths 4.7826, 4.7826, 4.6456 Å; angles 90.00, 90.00, 90.00 degrees
Fractional coordinates of all 5 atoms:
Ta1 0.0000 0.0000 0.0000
Nb1 0.5000 0.5000 0.5000
P1 0.0000 0.5000 0.5000
P2 0.5000 0.0000 0.5000
S1 0.5000 0.5000 0.0000

SG   No. 123

Arrangement x

Compound: TaNbP2S
Source: Alexandria via LeMat-Bulk
Functional: PBE
Structure: optimized geometry

Cell lengths 4.7942, 4.7942, 4.6764 Å; angles 90.00, 90.00, 90.00 degrees
Fractional coordinates of all 5 atoms:
Ta1 0.0000 0.0000 0.0000
Nb1 0.5000 0.5000 0.5000
P1 0.0000 0.5000 0.0000
P2 0.5000 0.0000 0.0000
S1 0.0000 0.0000 0.5000

SG   No. 123

Stability ranking, top entry: arrangement x; the second entry is 0.279 eV/atom less favorable.

Arrangement w

Compound: NbTePS2
Source: Alexandria via LeMat-Bulk
Functional: PBE
Structure: optimized geometry

Cell lengths 4.8714, 4.8714, 4.9852 Å; angles 90.00, 90.00, 90.00 degrees
Fractional coordinates of all 5 atoms:
Nb1 0.0000 0.0000 0.0000
Te1 0.5000 0.5000 0.5000
P1 0.5000 0.5000 0.0000
S1 0.0000 0.5000 0.5000
S2 0.5000 0.0000 0.5000

SG   No. 123

Arrangement x

Compound: NbTePS2
Source: Alexandria via LeMat-Bulk
Functional: PBE
Structure: optimized geometry

Cell lengths 4.6944, 4.6944, 5.2089 Å; angles 90.00, 90.00, 90.00 degrees
Fractional coordinates of all 5 atoms:
Nb1 0.0000 0.0000 0.0000
Te1 0.5000 0.5000 0.5000
P1 0.0000 0.0000 0.5000
S1 0.0000 0.5000 0.0000
S2 0.5000 0.0000 0.0000

SG   No. 123

Stability ranking, top entry: arrangement x; the second entry is 1.166 eV/atom less favorable.

Arrangement w

Compound: NbTePS
Source: Alexandria via LeMat-Bulk
Functional: PBE
Structure: optimized geometry

Cell lengths 3.2934, 7.7698, 7.7698 Å; angles 25.31, 90.00, 90.00 degrees
Fractional coordinates of all 4 atoms:
Nb1 0.0000 0.0000 0.0000
Te1 0.0000 0.1929 0.1929
P1 0.5000 0.5692 0.5692
S1 0.5000 0.8816 0.8816

SG   No. 38

Arrangement x

Compound: NbTePS
Source: Alexandria via LeMat-Bulk
Functional: PBE
Structure: optimized geometry

Cell lengths 3.4087, 3.4096, 8.8331 Å; angles 89.43, 80.13, 60.05 degrees
Fractional coordinates of all 4 atoms:
Nb1 0.0000 0.0000 0.0000
Te1 0.0673 0.4543 0.4657
P1 0.2301 0.3800 0.1797
S1 0.4361 0.2873 0.8221

SG   No. 1

Stability ranking, top entry: arrangement x; the second entry is 0.129 eV/atom less favorable.

Arrangement w

Compound: NbTePS
Source: Alexandria via LeMat-Bulk
Functional: PBE
Structure: optimized geometry

Cell lengths 8.6004, 8.6004, 8.6004 Å; angles 158.64, 158.64, 30.39 degrees
Fractional coordinates of all 4 atoms:
Nb1 0.0000 0.0000 0.0000
Te1 0.7326 0.7326 0.0000
P1 0.5811 0.5811 0.0000
S1 0.4159 0.4159 0.0000

SG   No. 107

Arrangement x

Compound: NbTePS
Source: Alexandria via LeMat-Bulk
Functional: PBE
Structure: optimized geometry

Cell lengths 3.4242, 4.4917, 7.3819 Å; angles 84.15, 89.60, 67.60 degrees
Fractional coordinates of all 4 atoms:
Nb1 0.0000 0.0000 0.0000
Te1 0.2982 0.4112 0.7483
P1 0.7072 0.5830 0.0720
S1 0.5302 0.9318 0.2625

SG   No. 1

Arrangement y

Compound: NbTePS
Source: Alexandria via LeMat-Bulk
Functional: PBE
Structure: optimized geometry

Cell lengths 3.3567, 4.6780, 7.2586 Å; angles 79.92, 76.81, 68.99 degrees
Fractional coordinates of all 4 atoms:
Nb1 0.0000 0.0000 0.0000
Te1 0.3960 0.8675 0.3450
P1 0.6827 0.5644 0.0706
S1 0.5332 0.1688 0.7616

SG   No. 1

Arrangement z

Compound: NbTePS
Source: Alexandria via LeMat-Bulk
Functional: PBE
Structure: optimized geometry

Cell lengths 8.9385, 8.9385, 8.9385 Å; angles 21.39, 21.39, 21.39 degrees
Fractional coordinates of all 4 atoms:
Nb1 0.0000 0.0000 0.0000
Te1 0.5164 0.5164 0.5164
P1 0.2678 0.2678 0.2678
S1 0.7263 0.7263 0.7263

SG   No. 160

Stability ranking, top entry: arrangement x; the second entry is 0.028 eV/atom less favorable.

Arrangement w

Compound: NbTePS
Source: Alexandria via LeMat-Bulk
Functional: PBE
Structure: optimized geometry

Cell lengths 4.7006, 4.7006, 5.9668 Å; angles 102.53, 102.53, 41.62 degrees
Fractional coordinates of all 4 atoms:
Nb1 0.0000 0.0000 0.0000
Te1 0.6492 0.6492 0.3993
P1 0.4632 0.4632 0.6713
S1 0.2913 0.2913 0.0067

SG   No. 8

Arrangement x

Compound: NbTePS
Source: Alexandria via LeMat-Bulk
Functional: PBE
Structure: optimized geometry

Cell lengths 3.9681, 3.2745, 7.9838 Å; angles 90.00, 95.89, 90.00 degrees
Fractional coordinates of all 4 atoms:
Nb1 0.0000 0.0000 0.0000
Te1 0.8927 0.0000 0.6574
P1 0.4843 0.5000 0.9789
S1 0.2644 0.5000 0.2173

SG   No. 6

Stability ranking, top entry: arrangement w; the second entry is 0.007 eV/atom less favorable.

Arrangement w

Compound: TiNbPS2
Source: Alexandria via LeMat-Bulk
Functional: PBE
Structure: optimized geometry

Cell lengths 4.5662, 4.5662, 4.7501 Å; angles 90.00, 90.00, 90.00 degrees
Fractional coordinates of all 5 atoms:
Ti1 0.0000 0.0000 0.0000
Nb1 0.5000 0.5000 0.5000
P1 0.0000 0.0000 0.5000
S1 0.0000 0.5000 0.0000
S2 0.5000 0.0000 0.0000

SG   No. 123

Arrangement x

Compound: TiNbPS2
Source: Alexandria via LeMat-Bulk
Functional: PBE
Structure: optimized geometry

Cell lengths 4.7370, 4.7370, 4.8748 Å; angles 90.00, 90.00, 90.00 degrees
Fractional coordinates of all 5 atoms:
Ti1 0.0000 0.0000 0.0000
Nb1 0.5000 0.5000 0.5000
P1 0.5000 0.5000 0.0000
S1 0.0000 0.5000 0.5000
S2 0.5000 0.0000 0.5000

SG   No. 123

Stability ranking, top entry: arrangement x; the second entry is 0.039 eV/atom less favorable.

Arrangement w

Compound: TiNbP2S
Source: Alexandria via LeMat-Bulk
Functional: PBE
Structure: optimized geometry

Cell lengths 4.8047, 4.8047, 4.6968 Å; angles 90.00, 90.00, 90.00 degrees
Fractional coordinates of all 5 atoms:
Ti1 0.0000 0.0000 0.0000
Nb1 0.5000 0.5000 0.5000
P1 0.0000 0.5000 0.5000
P2 0.5000 0.0000 0.5000
S1 0.5000 0.5000 0.0000

SG   No. 123

Arrangement x

Compound: TiNbP2S
Source: Alexandria via LeMat-Bulk
Functional: PBE
Structure: optimized geometry

Cell lengths 4.6369, 4.6369, 4.5763 Å; angles 90.00, 90.00, 90.00 degrees
Fractional coordinates of all 5 atoms:
Ti1 0.0000 0.0000 0.0000
Nb1 0.5000 0.5000 0.5000
P1 0.0000 0.5000 0.0000
P2 0.5000 0.0000 0.0000
S1 0.0000 0.0000 0.5000

SG   No. 123

Stability ranking, top entry: arrangement x; the second entry is 0.019 eV/atom less favorable.

Arrangement w

Compound: NbTlP2S
Source: Alexandria via LeMat-Bulk
Functional: PBE
Structure: optimized geometry

Cell lengths 4.9627, 4.9627, 5.0224 Å; angles 90.00, 90.00, 90.00 degrees
Fractional coordinates of all 5 atoms:
Nb1 0.0000 0.0000 0.0000
Tl1 0.5000 0.5000 0.5000
P1 0.0000 0.5000 0.5000
P2 0.5000 0.0000 0.5000
S1 0.5000 0.5000 0.0000

SG   No. 123

Arrangement x

Compound: NbTlP2S
Source: Alexandria via LeMat-Bulk
Functional: PBE
Structure: optimized geometry

Cell lengths 4.9332, 4.9332, 4.8309 Å; angles 90.00, 90.00, 90.00 degrees
Fractional coordinates of all 5 atoms:
Nb1 0.0000 0.0000 0.0000
Tl1 0.5000 0.5000 0.5000
P1 0.0000 0.5000 0.0000
P2 0.5000 0.0000 0.0000
S1 0.0000 0.0000 0.5000

SG   No. 123

Stability ranking, top entry: arrangement x; the second entry is 1.538 eV/atom less favorable.